La2Pm5Ho4: relaxed, PBE-GGA.

## Properties
* total magnetization: 0.000 μB/cell
* SG: No. 12
* distance to the lowest polymorph of the same formula: 0 meV/atom
* DOS at the Fermi energy: 15.43 states/eV per cell
* formation energy from the elements: 0.065 eV/atom

Cell: 3.562 11.766 9.107 Å, 94.00 101.28 90.00°
Fractional coordinates of all 11 atoms:
Ho: 0.969 0.743 0.938
Ho: 0.639 0.799 0.278
Ho: 0.361 0.201 0.722
Ho: 0.031 0.257 0.062
La: 0.282 0.646 0.565
La: 0.718 0.354 0.435
Pm: 0.095 0.537 0.189
Pm: 0.500 0.000 0.000
Pm: 0.176 0.068 0.352
Pm: 0.905 0.463 0.811
Pm: 0.824 0.932 0.648

MgPd3Au: relaxed, PBE-GGA.

## Properties
* total magnetization: 0.000 μB/cell
* SG: No. 11
* distance to the lowest polymorph of the same formula: 195 meV/atom
* DOS at the Fermi energy: 6.88 states/eV per cell
* formation energy from the elements: -0.234 eV/atom

Cell: 3.938 6.135 7.910 Å, 90.00 90.00 108.80°
Fractional coordinates of all 10 atoms:
Pd: 0.335 0.670 0.000
Pd: 0.335 0.670 0.500
Pd: 0.835 0.669 0.250
Pd: 0.665 0.330 0.000
Pd: 0.165 0.331 0.750
Pd: 0.665 0.330 0.500
Mg: 0.832 0.663 0.750
Mg: 0.168 0.337 0.250
Au: 0.000 0.000 0.000
Au: 0.000 0.000 0.500

LiCoS2: relaxed, PBE-GGA.

## Properties
* total magnetization: 0.000 μB/cell
* SG: No. 227
* distance to the lowest polymorph of the same formula: 51 meV/atom

Cell: 6.861 6.861 6.861 Å, 60.00 60.00 60.00°
Fractional coordinates of all 16 atoms:
S: 0.390 0.390 0.390
S: 0.420 0.860 0.860
S: 0.860 0.420 0.860
S: 0.860 0.860 0.420
S: 0.390 0.830 0.390
S: 0.390 0.390 0.830
S: 0.860 0.860 0.860
S: 0.830 0.390 0.390
Li: 0.625 0.125 0.125
Li: 0.125 0.625 0.125
Li: 0.125 0.125 0.625
Li: 0.125 0.125 0.125
Co: 0.125 0.625 0.625
Co: 0.625 0.625 0.125
Co: 0.625 0.625 0.625
Co: 0.625 0.125 0.625

PaAg3Cl9: relaxed, PBE-GGA.

## Properties
* total magnetization: 0.000 μB/cell
* E: -3.7021 eV/atom
* SG: No. 9
* DOS at the Fermi energy: 16.88 states/eV per cell

Cell: 9.765 10.300 11.481 Å, 71.50 64.83 61.70°
Fractional coordinates of all 26 atoms:
Cl: 0.523 0.224 0.575
Cl: 0.754 0.946 0.358
Cl: 0.101 0.692 0.892
Cl: 0.975 0.564 0.242
Cl: 0.103 0.582 0.503
Cl: 0.212 0.940 0.203
Cl: 0.219 0.064 0.742
Cl: 0.812 0.082 0.003
Cl: 0.645 0.440 0.703
Cl: 0.475 0.461 0.089
Cl: 0.439 0.803 0.508
Cl: 0.942 0.446 0.858
Cl: 0.841 0.317 0.204
Cl: 0.678 0.724 0.075
Cl: 0.250 0.303 0.008
Cl: 0.975 0.961 0.589
Cl: 0.638 0.817 0.704
Cl: 0.316 0.192 0.392
Pa: 0.967 0.505 0.045
Pa: 0.483 0.005 0.545
Ag: 0.391 0.704 0.133
Ag: 0.983 0.042 0.123
Ag: 0.851 0.542 0.623
Ag: 0.948 0.978 0.804
Ag: 0.772 0.204 0.633
Ag: 0.271 0.478 0.304

In2Hg2Pb: relaxed, PBE-GGA.

## Properties
* total magnetization: 0.000 μB/cell
* SG: No. 139
* distance to the lowest polymorph of the same formula: 72 meV/atom
* DOS at the Fermi energy: 3.21 states/eV per cell
* formation energy from the elements: 0.092 eV/atom

Cell: 4.294 4.294 8.356 Å, 75.11 75.11 90.00°
Fractional coordinates of all 5 atoms:
In: 0.601 0.601 0.799
In: 0.399 0.399 0.201
Hg: 0.750 0.250 0.500
Hg: 0.250 0.750 0.500
Pb: 0.000 0.000 0.000

Zr5AlPb3: relaxed, PBE-GGA.

## Properties
* total magnetization: 0.000 μB/cell
* SG: No. 193
* DOS at the Fermi energy: 12.00 states/eV per cell
* formation energy from the elements: -0.352 eV/atom

Cell: 8.848 8.848 5.972 Å, 90.00 90.00 120.00°
Fractional coordinates of all 18 atoms:
Zr: 0.000 0.267 0.750
Zr: 0.267 0.267 0.250
Zr: 0.267 0.000 0.750
Zr: 0.333 0.667 0.500
Zr: 0.333 0.667 0.000
Zr: 0.733 0.733 0.750
Zr: 0.733 0.000 0.250
Zr: 0.000 0.733 0.250
Zr: 0.667 0.333 0.000
Zr: 0.667 0.333 0.500
Al: 0.000 0.000 0.000
Al: 0.000 0.000 0.500
Pb: 0.614 0.000 0.750
Pb: 0.386 0.386 0.750
Pb: 0.614 0.614 0.250
Pb: 0.386 0.000 0.250
Pb: 0.000 0.386 0.250
Pb: 0.000 0.614 0.750

Ce2SiGe2: relaxed, PBE-GGA.

## Properties
* total magnetization: 2.246 μB/cell
* E: -5.9528 eV/atom
* SG: No. 12
* DOS at the Fermi energy: 17.17 states/eV per cell

Cell: 4.141 5.842 10.242 Å, 78.33 78.34 69.24°
Fractional coordinates of all 10 atoms:
Ge: 0.049 0.312 0.591
Ge: 0.670 0.792 0.868
Ge: 0.330 0.208 0.132
Ge: 0.951 0.688 0.409
Si: 0.573 0.157 0.696
Si: 0.427 0.843 0.304
Ce: 0.074 0.760 0.093
Ce: 0.926 0.240 0.907
Ce: 0.692 0.256 0.361
Ce: 0.308 0.744 0.639

ScTaTc3: relaxed, PBE-GGA.

## Properties
* total magnetization: 1.568 μB/cell
* SG: No. 221
* distance to the lowest polymorph of the same formula: 0 meV/atom
* DOS at the Fermi energy: 8.42 states/eV per cell
* formation energy from the elements: 1.187 eV/atom

Cell: 4.735 4.735 4.735 Å, 90.00 90.00 90.00°
Fractional coordinates of all 5 atoms:
Tc: 0.500 0.000 0.000
Tc: 0.000 0.500 0.000
Tc: 0.000 0.000 0.500
Sc: 0.500 0.500 0.500
Ta: 0.000 0.000 0.000

TbPmHoZr: relaxed, PBE-GGA.

## Properties
* total magnetization: 2.202 μB/cell
* SG: No. 216
* DOS at the Fermi energy: 7.24 states/eV per cell
* formation energy from the elements: 0.228 eV/atom

Cell: 5.527 5.527 5.527 Å, 60.00 60.00 60.00°
Fractional coordinates of all 4 atoms:
Ho: 0.750 0.750 0.750
Pm: 0.250 0.250 0.250
Tb: 0.500 0.500 0.500
Zr: 0.000 0.000 0.000

Zn4Ga3Au4: relaxed, PBE-GGA.

## Properties
* total magnetization: 0.000 μB/cell
* SG: No. 71
* DOS at the Fermi energy: 3.57 states/eV per cell
* formation energy from the elements: -0.110 eV/atom

Cell: 3.424 8.005 8.589 Å, 117.78 101.50 90.00°
Fractional coordinates of all 11 atoms:
Au: 0.500 0.762 0.000
Au: 0.272 0.772 0.543
Au: 0.728 0.228 0.457
Au: 0.500 0.238 0.000
Ga: 0.090 0.090 0.179
Ga: 0.910 0.910 0.821
Ga: 0.000 0.500 0.000
Zn: 0.672 0.494 0.345
Zn: 0.328 0.506 0.655
Zn: 0.328 0.149 0.655
Zn: 0.672 0.851 0.345

InBiHPb2: relaxed, PBE-GGA.

## Properties
* total magnetization: 0.000 μB/cell
* SG: No. 123
* distance to the lowest polymorph of the same formula: 0 meV/atom
* DOS at the Fermi energy: 2.22 states/eV per cell

Cell: 5.088 5.088 4.941 Å, 90.00 90.00 90.00°
Fractional coordinates of all 5 atoms:
Bi: 0.500 0.500 0.500
Pb: 0.000 0.500 0.000
Pb: 0.500 0.000 0.000
In: 0.000 0.000 0.500
H: 0.000 0.000 0.000

Mg2ScInH: relaxed, PBE-GGA.

## Properties
* total magnetization: 0.000 μB/cell
* E: -3.3861 eV/atom
* SG: No. 123
* DOS at the Fermi energy: 1.37 states/eV per cell

Cell: 4.462 4.462 4.385 Å, 90.00 90.00 90.00°
Fractional coordinates of all 5 atoms:
H: 0.000 0.000 0.000
Sc: 0.000 0.000 0.500
Mg: 0.000 0.500 0.000
Mg: 0.500 0.000 0.000
In: 0.500 0.500 0.500

Question: Look up the total magnetization of the eighth one.
Answer: 1.568 μB/cell

Question: What is the formula in the twelfth record?
Answer: Mg2ScInH

Question: total magnetization of number 8 (ScTaTc3)?
Answer: 1.568 μB/cell